Entry 1:
First-principles (PBE) data for a relaxed Cs2BaHg2 crystal, as listed in OQMD.

Results
Crystal system = tetragonal
Raw total energy = -1.01 eV per atom

Cell and atoms, written as CIF:
```
data_Cs2BaHg2
_chemical_formula_sum 'Cs8 Ba4 Hg8'
_cell_length_a 14.414
_cell_length_b 14.414
_cell_length_c 5.192
_cell_angle_alpha 90.00
_cell_angle_beta 90.00
_cell_angle_gamma 90.00
_symmetry_space_group_name_H-M 'P 42/m n m'
_symmetry_Int_Tables_number 136
_symmetry_space_group_name_Hall '-P 4n 2n'
loop_
_atom_site_label
_atom_site_type_symbol
_atom_site_fract_x
_atom_site_fract_y
_atom_site_fract_z
_atom_site_occupancy
Cs1 Cs 0.094 0.332 0.000 1
Ba1 Ba 0.097 0.903 0.500 1
Hg1 Hg 0.075 0.075 0.000 1
Hg2 Hg 0.155 0.155 0.500 1
```


Entry 2:
First-principles (PBE) data for a relaxed CsBaLuSe3 crystal, as listed in OQMD.

Results
Crystal system = orthorhombic
Raw total energy = -4.64 eV per atom

Cell and atoms, written as CIF:
```
data_CsBaLuSe3
_chemical_formula_sum 'Cs4 Ba4 Lu4 Se12'
_cell_length_a 4.737
_cell_length_b 16.276
_cell_length_c 13.183
_cell_angle_alpha 90.00
_cell_angle_beta 90.00
_cell_angle_gamma 90.00
_symmetry_space_group_name_H-M 'C m c m'
_symmetry_Int_Tables_number 63
_symmetry_space_group_name_Hall '-C 2c 2'
loop_
_atom_site_label
_atom_site_type_symbol
_atom_site_fract_x
_atom_site_fract_y
_atom_site_fract_z
_atom_site_occupancy
Cs1 Cs 0.000 0.247 0.250 1
Ba1 Ba 0.000 0.500 0.000 1
Lu1 Lu 0.000 0.031 0.750 1
Se1 Se 0.000 0.122 0.587 1
Se2 Se 0.000 0.444 0.750 1
```


Entry 3:
First-principles (PBE) data for a relaxed CsBaNb crystal, as listed in OQMD.

Results
Crystal system = cubic
Raw total energy = -2.54 eV per atom

Cell and atoms, written as CIF:
```
data_CsBaNb
_chemical_formula_sum 'Cs4 Ba4 Nb4'
_cell_length_a 8.371
_cell_length_b 8.371
_cell_length_c 8.371
_cell_angle_alpha 90.00
_cell_angle_beta 90.00
_cell_angle_gamma 90.00
_symmetry_space_group_name_H-M 'F -4 3 m'
_symmetry_Int_Tables_number 216
_symmetry_space_group_name_Hall 'F -4 2 3'
loop_
_atom_site_label
_atom_site_type_symbol
_atom_site_fract_x
_atom_site_fract_y
_atom_site_fract_z
_atom_site_occupancy
Cs1 Cs 0.000 0.000 0.000 1
Ba1 Ba 0.250 0.250 0.750 1
Nb1 Nb 0.250 0.250 0.250 1
```


Entry 4:
First-principles (PBE) data for a relaxed CsBaPd2O4 crystal, as listed in OQMD.

Results
Crystal system = orthorhombic
Raw total energy = -5.29 eV per atom

Cell and atoms, written as CIF:
```
data_CsBaPd2O4
_chemical_formula_sum 'Cs2 Ba2 Pd4 O8'
_cell_length_a 6.023
_cell_length_b 4.656
_cell_length_c 11.743
_cell_angle_alpha 90.00
_cell_angle_beta 90.00
_cell_angle_gamma 90.00
_symmetry_space_group_name_H-M 'A m m 2'
_symmetry_Int_Tables_number 38
loop_
_symmetry_equiv_pos_as_xyz
'x,y,z'
'-x,-y,z'
'-x,y,z'
'x,-y,z'
'x,y+1/2,z+1/2'
'-x,-y+1/2,z+1/2'
'-x,y+1/2,z+1/2'
'x,-y+1/2,z+1/2'
loop_
_atom_site_label
_atom_site_type_symbol
_atom_site_fract_x
_atom_site_fract_y
_atom_site_fract_z
_atom_site_occupancy
Cs1 Cs 0.000 0.000 0.000 1
Ba1 Ba 0.500 0.000 0.386 1
Pd1 Pd 0.000 0.000 0.693 1
Pd2 Pd 0.500 0.000 0.684 1
O1 O 0.246 0.000 0.574 1
O2 O 0.264 0.000 0.803 1
```


Entry 5:
First-principles (PBE) data for a relaxed CsBaOs crystal, as listed in OQMD.

Results
E above lowest polymorph = 1.38 eV/f.u.
Crystal system = cubic

Cell and atoms, written as CIF:
```
data_CsBaOs
_chemical_formula_sum 'Cs4 Ba4 Os4'
_cell_length_a 7.600
_cell_length_b 7.600
_cell_length_c 7.600
_cell_angle_alpha 90.00
_cell_angle_beta 90.00
_cell_angle_gamma 90.00
_symmetry_space_group_name_H-M 'F -4 3 m'
_symmetry_Int_Tables_number 216
_symmetry_space_group_name_Hall 'F -4 2 3'
loop_
_atom_site_label
_atom_site_type_symbol
_atom_site_fract_x
_atom_site_fract_y
_atom_site_fract_z
_atom_site_occupancy
Cs1 Cs 0.000 0.000 0.000 1
Ba1 Ba 0.250 0.250 0.750 1
Os1 Os 0.250 0.250 0.250 1
```


Entry 6:
First-principles (PBE) data for a relaxed CsBaOs crystal, as listed in OQMD.

Results
E above lowest polymorph = 0.00 eV/f.u.
Crystal system = cubic

Cell and atoms, written as CIF:
```
data_CsBaOs
_chemical_formula_sum 'Cs4 Ba4 Os4'
_cell_length_a 7.734
_cell_length_b 7.734
_cell_length_c 7.734
_cell_angle_alpha 90.00
_cell_angle_beta 90.00
_cell_angle_gamma 90.00
_symmetry_space_group_name_H-M 'F -4 3 m'
_symmetry_Int_Tables_number 216
_symmetry_space_group_name_Hall 'F -4 2 3'
loop_
_atom_site_label
_atom_site_type_symbol
_atom_site_fract_x
_atom_site_fract_y
_atom_site_fract_z
_atom_site_occupancy
Cs1 Cs 0.000 0.000 0.000 1
Ba1 Ba 0.000 0.000 0.500 1
Os1 Os 0.250 0.250 0.750 1
```


Entry 7:
First-principles (PBE) data for a relaxed Cs5BaTaP4 crystal, as listed in OQMD.

Results
Crystal system = monoclinic
Raw total energy = -4.16 eV per atom

Cell and atoms, written as CIF:
```
data_Cs5BaTaP4
_chemical_formula_sum 'Cs20 Ba4 Ta4 P16'
_cell_length_a 10.799
_cell_length_b 19.097
_cell_length_c 8.356
_cell_angle_alpha 90.00
_cell_angle_beta 94.22
_cell_angle_gamma 90.00
_symmetry_space_group_name_H-M 'C 1 c 1'
_symmetry_Int_Tables_number 9
loop_
_symmetry_equiv_pos_as_xyz
'x,y,z'
'x,-y,z+1/2'
'x+1/2,y+1/2,z'
'x+1/2,-y+1/2,z+1/2'
loop_
_atom_site_label
_atom_site_type_symbol
_atom_site_fract_x
_atom_site_fract_y
_atom_site_fract_z
_atom_site_occupancy
Cs1 Cs 0.000 0.033 0.000 1
Cs2 Cs 0.010 0.363 0.313 1
Cs3 Cs 0.225 0.430 0.771 1
Cs4 Cs 0.291 0.071 0.339 1
Cs5 Cs 0.305 0.268 0.494 1
Ba1 Ba 0.206 0.236 0.996 1
Ta1 Ta 0.006 0.171 0.598 1
P1 P 0.001 0.291 0.699 1
P2 P 0.019 0.175 0.310 1
P3 P 0.187 0.113 0.723 1
P4 P 0.315 0.386 0.157 1
```


Entry 8:
First-principles (PBE) data for a relaxed CsBaPd crystal, as listed in OQMD.

Results
E above lowest polymorph = 1.31 eV/f.u.
Crystal system = cubic

Cell and atoms, written as CIF:
```
data_CsBaPd
_chemical_formula_sum 'Cs4 Ba4 Pd4'
_cell_length_a 7.818
_cell_length_b 7.818
_cell_length_c 7.818
_cell_angle_alpha 90.00
_cell_angle_beta 90.00
_cell_angle_gamma 90.00
_symmetry_space_group_name_H-M 'F -4 3 m'
_symmetry_Int_Tables_number 216
_symmetry_space_group_name_Hall 'F -4 2 3'
loop_
_atom_site_label
_atom_site_type_symbol
_atom_site_fract_x
_atom_site_fract_y
_atom_site_fract_z
_atom_site_occupancy
Cs1 Cs 0.000 0.000 0.000 1
Ba1 Ba 0.250 0.250 0.750 1
Pd1 Pd 0.250 0.250 0.250 1
```


Entry 9:
First-principles (PBE) data for a relaxed CsBaPd crystal, as listed in OQMD.

Results
E above lowest polymorph = 0.00 eV/f.u.
Crystal system = cubic

Cell and atoms, written as CIF:
```
data_CsBaPd
_chemical_formula_sum 'Cs4 Ba4 Pd4'
_cell_length_a 7.955
_cell_length_b 7.955
_cell_length_c 7.955
_cell_angle_alpha 90.00
_cell_angle_beta 90.00
_cell_angle_gamma 90.00
_symmetry_space_group_name_H-M 'F -4 3 m'
_symmetry_Int_Tables_number 216
_symmetry_space_group_name_Hall 'F -4 2 3'
loop_
_atom_site_label
_atom_site_type_symbol
_atom_site_fract_x
_atom_site_fract_y
_atom_site_fract_z
_atom_site_occupancy
Cs1 Cs 0.000 0.000 0.000 1
Ba1 Ba 0.000 0.000 0.500 1
Pd1 Pd 0.250 0.250 0.750 1
```


Entry 10:
First-principles (PBE) data for a relaxed CsBaTl4Pt2 crystal, as listed in OQMD.

Results
Crystal system = orthorhombic
Raw total energy = -3.32 eV per atom

Cell and atoms, written as CIF:
```
data_CsBaTl4Pt2
_chemical_formula_sum 'Cs2 Ba2 Tl8 Pt4'
_cell_length_a 8.557
_cell_length_b 4.495
_cell_length_c 12.318
_cell_angle_alpha 90.00
_cell_angle_beta 90.00
_cell_angle_gamma 90.00
_symmetry_space_group_name_H-M 'A m m 2'
_symmetry_Int_Tables_number 38
loop_
_symmetry_equiv_pos_as_xyz
'x,y,z'
'-x,-y,z'
'-x,y,z'
'x,-y,z'
'x,y+1/2,z+1/2'
'-x,-y+1/2,z+1/2'
'-x,y+1/2,z+1/2'
'x,-y+1/2,z+1/2'
loop_
_atom_site_label
_atom_site_type_symbol
_atom_site_fract_x
_atom_site_fract_y
_atom_site_fract_z
_atom_site_occupancy
Cs1 Cs 0.000 0.000 0.000 1
Ba1 Ba 0.500 0.000 0.103 1
Tl1 Tl 0.197 0.000 0.712 1
Tl2 Tl 0.304 0.000 0.394 1
Pt1 Pt 0.000 0.000 0.275 1
Pt2 Pt 0.500 0.000 0.823 1
```


Entry 11:
First-principles (PBE) data for a relaxed CsBaPu crystal, as listed in OQMD.

Results
Crystal system = cubic
Raw total energy = -4.63 eV per atom

Cell and atoms, written as CIF:
```
data_CsBaPu
_chemical_formula_sum 'Cs4 Ba4 Pu4'
_cell_length_a 9.168
_cell_length_b 9.168
_cell_length_c 9.168
_cell_angle_alpha 90.00
_cell_angle_beta 90.00
_cell_angle_gamma 90.00
_symmetry_space_group_name_H-M 'F -4 3 m'
_symmetry_Int_Tables_number 216
_symmetry_space_group_name_Hall 'F -4 2 3'
loop_
_atom_site_label
_atom_site_type_symbol
_atom_site_fract_x
_atom_site_fract_y
_atom_site_fract_z
_atom_site_occupancy
Cs1 Cs 0.000 0.000 0.000 1
Ba1 Ba 0.250 0.250 0.250 1
Pu1 Pu 0.000 0.000 0.500 1
```


Entry 12:
First-principles (PBE) data for a relaxed CsBaSmS3 crystal, as listed in OQMD.

Results
Crystal system = orthorhombic
Raw total energy = -4.95 eV per atom

Cell and atoms, written as CIF:
```
data_CsBaSmS3
_chemical_formula_sum 'Cs4 Ba4 Sm4 S12'
_cell_length_a 4.299
_cell_length_b 18.950
_cell_length_c 12.122
_cell_angle_alpha 90.00
_cell_angle_beta 90.00
_cell_angle_gamma 90.00
_symmetry_space_group_name_H-M 'C m c m'
_symmetry_Int_Tables_number 63
_symmetry_space_group_name_Hall '-C 2c 2'
loop_
_atom_site_label
_atom_site_type_symbol
_atom_site_fract_x
_atom_site_fract_y
_atom_site_fract_z
_atom_site_occupancy
Cs1 Cs 0.000 0.148 0.250 1
Ba1 Ba 0.000 0.107 0.750 1
Sm1 Sm 0.000 0.500 0.000 1
S1 S 0.000 0.097 0.506 1
S2 S 0.000 0.498 0.750 1
```


Number 1: V 53.93 Å³ per atom. Number 2: V 42.35 Å³ per atom. Number 3: V 48.89 Å³ per atom. Number 4: V 20.58 Å³ per atom. Number 5: V 36.58 Å³ per atom. Number 6: V 38.55 Å³ per atom. Number 7: V 39.06 Å³ per atom. Number 8: V 39.82 Å³ per atom. Number 9: V 41.95 Å³ per atom. Number 10: V 29.61 Å³ per atom. Number 11: V 64.23 Å³ per atom. Number 12: V 41.15 Å³ per atom.